A | VASP calculation (GGA-PBE) on a relaxed PuTl2Br4 crystal.

DOS(E_F) = 2.08 states/eV per atom

a b c (Å): 13.556 4.540 9.264
angles (deg): 90.00 119.77 90.00
Space group C2/m (No. 12)
Symmetry-distinct sites (fractional):
Pu (0.000, 0.000, 0.000) [2 per cell]
Tl (0.159, 0.500, 0.659) [4 per cell]
Br (0.085, 0.000, 0.362) [4 per cell]
Br (0.157, 0.500, 0.050) [4 per cell]

---

B | VASP calculation (GGA-PBE) on a relaxed PuTl2Br4 crystal.

DOS(E_F) = 2.34 states/eV per atom

a b c (Å): 5.818 5.818 16.586
angles (deg): 90.00 90.00 90.00
Space group I4/mmm (No. 139)
Symmetry-distinct sites (fractional):
Pu (0.000, 0.000, 0.000) [2 per cell]
Tl (0.000, 0.000, 0.363) [4 per cell]
Br (0.000, 0.000, 0.177) [4 per cell]
Br (0.000, 0.500, 0.000) [4 per cell]

---

Q: Which of them is the least stable? A: B.

---

A | VASP calculation (GGA-PBE) on a relaxed BaReAu2 crystal.

DOS(E_F) = 0.73 states/eV per atom

a b c (Å): 3.797 5.661 9.575
angles (deg): 90.00 90.00 90.00
Space group Immm (No. 71)
Symmetry-distinct sites (fractional):
Ba (0.000, 0.000, 0.000) [2 per cell]
Re (0.000, 0.000, 0.500) [2 per cell]
Au (0.000, 0.500, 0.194) [4 per cell]

---

B | VASP calculation (GGA-PBE) on a relaxed BaReAu2 crystal.

DOS(E_F) = 0.49 states/eV per atom

a b c (Å): 7.220 7.220 7.220
angles (deg): 90.00 90.00 90.00
Space group F-43m (No. 216)
Symmetry-distinct sites (fractional):
Ba (0.000, 0.000, 0.000) [4 per cell]
Re (0.250, 0.250, 0.250) [4 per cell]
Au (0.000, 0.000, 0.500) [4 per cell]
Au (0.250, 0.250, 0.750) [4 per cell]

---

Q: Which of them is the least stable? A: B.

---

A | VASP calculation (GGA-PBE) on a relaxed B2C3 crystal.

DOS(E_F) = 0.08 states/eV per atom

a b c (Å): 2.483 2.486 20.923
angles (deg): 90.00 90.00 90.00
Space group Imm2 (No. 44)
Symmetry-distinct sites (fractional):
B (0.000, 0.000, 0.000) [2 per cell]
B (0.000, 0.000, 0.207) [2 per cell]
B (0.000, 0.500, 0.145) [2 per cell]
B (0.000, 0.500, 0.770) [2 per cell]
C (0.000, 0.000, 0.408) [2 per cell]
C (0.000, 0.000, 0.592) [2 per cell]
C (0.000, 0.000, 0.821) [2 per cell]
C (0.000, 0.500, 0.362) [2 per cell]
C (0.000, 0.500, 0.553) [2 per cell]
C (0.000, 0.500, 0.949) [2 per cell]

---

B | VASP calculation (GGA-PBE) on a relaxed B2C3 crystal.

DOS(E_F) = 0.17 states/eV per atom

a b c (Å): 2.6459 2.6459 37.0652
angles (deg): 90.00 90.00 120.00
Space group R3m (No. 160, hexagonal axes)
Symmetry-distinct sites (fractional):
B (0.0000, 0.0000, 0.0000) [3 per cell]
B (0.0000, 0.0000, 0.0978) [3 per cell]
B (0.0000, 0.0000, 0.2673) [3 per cell]
B (0.0000, 0.0000, 0.8725) [3 per cell]
C (0.0000, 0.0000, 0.2250) [3 per cell]
C (0.0000, 0.0000, 0.4366) [3 per cell]
C (0.0000, 0.0000, 0.4821) [3 per cell]
C (0.0000, 0.0000, 0.6198) [3 per cell]
C (0.0000, 0.0000, 0.6615) [3 per cell]
C (0.0000, 0.0000, 0.8289) [3 per cell]

---

Q: Which of them is the least stable? A: B.